(1)
Density functional theory data (PBE) for a relaxed structure of NaCu3Si.

It has space group Pm-3m (No. 221), with a = 4.5079 Å, b = 4.5079 Å, c = 4.5079 Å, α = 90.00°, β = 90.00° and γ = 90.00°. The inequivalent atoms are Na at (0.0000, 0.0000, 0.0000), Cu at (0.0000, 0.5000, 0.5000) and Si at (0.5000, 0.5000, 0.5000).

The calculation puts the density of states at the Fermi level at 0.5 states/eV/cell. The calculation puts the mass density at 4.4 Mg/m³. The volume is 91.6 Å³/cell. The value obtained for the energy relative to the elements, uncorrected is 178.7 meV/atom.



(2)
Density functional theory data (PBE) for a relaxed structure of Cs2SmMg2S4.

It has space group C2/m (No. 12), with a = 15.8326 Å, b = 4.1437 Å, c = 8.2615 Å, α = 90.00°, β = 107.39° and γ = 90.00°. The inequivalent atoms are Cs at (0.1267, 0.0000, 0.0347), Sm at (0.0000, 0.0000, 0.5000), Mg at (0.1718, 0.5000, 0.4755), S at (0.0255, 0.5000, 0.2753) and S at (0.1994, 0.0000, 0.6493).

The calculation puts the density of states at the Fermi level at 7.6 states/eV/cell. The calculation puts the mass density at 3.8 Mg/m³. The volume is 517.2 Å³/cell. The value obtained for the energy relative to the elements, uncorrected is -1389.2 meV/atom.



(3)
Density functional theory data (PBE) for a relaxed structure of AlReTc.

It has space group Pnma (No. 62), with a = 8.7023 Å, b = 2.8315 Å, c = 7.4263 Å, α = 90.00°, β = 90.00° and γ = 90.00°. The inequivalent atoms are Al at (0.0994, 0.2500, 0.1263), Re at (0.1438, 0.2500, 0.7565) and Tc at (0.1258, 0.7500, 0.4564).

The calculation puts the density of states at the Fermi level at 7.7 states/eV/cell. The calculation puts the mass density at 11.3 Mg/m³. For the offset from the most stable computed form, the calculation gives 329 meV per atom. The volume is 183.0 Å³/cell. Its energy of formation is -14.7 meV per atom.



(4)
Density functional theory data (PBE) for a relaxed structure of Pm4HoAl.

It has space group C2/c (No. 15), with a = 8.9070 Å, b = 14.0727 Å, c = 6.3561 Å, α = 90.00°, β = 109.27° and γ = 90.00°. The inequivalent atoms are Pm at (0.1001, 0.1838, 0.0474), Pm at (0.2188, 0.3871, 0.3747), Ho at (0.0000, 0.4083, 0.7500) and Al at (0.0000, 0.0002, 0.2500).

The calculation puts the density of states at the Fermi level at 32.8 states/eV/cell. The calculation puts the mass density at 6.8 Mg/m³. For the offset from the most stable computed form, the calculation gives 73 meV per atom. The volume is 752.1 Å³/cell. Its energy of formation is -26.6 meV per atom.



(5)
Density functional theory data (PBE) for a relaxed structure of Sm4Zn3Cd2.

It has space group C2/m (No. 12), with a = 10.2726 Å, b = 4.9926 Å, c = 9.0521 Å, α = 90.00°, β = 106.58° and γ = 90.00°. The inequivalent atoms are Sm at (0.0724, 0.0000, 0.3496), Sm at (0.1388, 0.5000, 0.8984), Zn at (0.0000, 0.0000, 0.0000), Zn at (0.1256, 0.5000, 0.5566) and Cd at (0.2375, 0.5000, 0.2786).

The calculation puts the density of states at the Fermi level at 18.8 states/eV/cell. The calculation puts the mass density at 7.6 Mg/m³. The volume is 444.9 Å³/cell. Its energy of formation is -263.6 meV per atom.



(6)
Density functional theory data (PBE) for a relaxed structure of CeZnGe2Pt5.

It has space group P4/mmm (No. 123), with a = 4.0846 Å, b = 4.0846 Å, c = 10.8264 Å, α = 90.00°, β = 90.00° and γ = 90.00°. The inequivalent atoms are Ce at (0.0000, 0.0000, 0.0000), Zn at (0.0000, 0.0000, 0.5000), Ge at (0.5000, 0.5000, 0.2250), Pt at (0.0000, 0.5000, 0.3511) and Pt at (0.5000, 0.5000, 0.0000).

The calculation puts the density of states at the Fermi level at 9.8 states/eV/cell. The calculation puts the mass density at 12.2 Mg/m³. The volume is 180.6 Å³/cell. Its energy of formation is -538.8 meV per atom.